Material: MnGa2Ni8
Method: DFT, PBE
State: optimized geometry

Results
**Total magnetic moment**: 0.485 μB per atom
**Total DFT energy (no corrections)**: -5.615 eV/atom
**Relative energy among the computed polymorphs**: 0 meV per atom

Cell: 6.4926 6.4926 4.2032 Å, 103.48 103.48 120.71°
Closest atoms and distances in Å follow each position.
Element x y z (fractional)
Mn1 0.0000 0.0000 0.0000  4 Ni 2.38
Ga1 0.3065 0.6935 0.5000  8 Ni 2.36-2.51
Ga2 0.6935 0.3065 0.5000  8 Ni 2.36-2.51
Ni1 0.0992 0.3199 0.6404  5 Ni 2.38-2.63, 2 Ga 2.40-2.51
Ni2 0.2109 0.7891 0.0000  2 Ga 2.36, 1 Mn 2.38, 2 Ni 2.63
Ni3 0.3199 0.0992 0.6404  5 Ni 2.38-2.63, 2 Ga 2.40-2.51
Ni4 0.4135 0.4135 0.1917  6 Ni 2.29-2.51, 1 Mn 2.38, 2 Ga 2.47
Ni5 0.5865 0.5865 0.8083  6 Ni 2.29-2.51, 1 Mn 2.38, 2 Ga 2.47
Ni6 0.6801 0.9008 0.3596  5 Ni 2.38-2.63, 2 Ga 2.40-2.51
Ni7 0.7891 0.2109 0.0000  2 Ga 2.36, 1 Mn 2.38, 2 Ni 2.63
Ni8 0.9008 0.6801 0.3596  5 Ni 2.38-2.63, 2 Ga 2.40-2.51